Entry 1:
# CaTl5Pd6 GGA-PBE relaxed
data_CaTl5Pd6
_cell_length_a 7.5409
_cell_length_b 7.5409
_cell_length_c 6.8977
_cell_angle_alpha 90.00
_cell_angle_beta 90.00
_cell_angle_gamma 142.90
_space_group_name_H-M_alt 'P 1'
_space_group_IT_number 1
loop_
_space_group_symop_operation_xyz
'x,y,z'
loop_
_atom_site_label
_atom_site_type_symbol
_atom_site_fract_x
_atom_site_fract_y
_atom_site_fract_z
_atom_site_occupancy
Ca1 Ca 0.0000 0.0000 0.0000 1
Tl1 Tl 0.0000 0.0000 0.5000 1
Tl2 Tl 0.3354 0.6646 0.5000 1
Tl3 Tl 0.3393 0.6607 0.0000 1
Tl4 Tl 0.6607 0.3393 0.0000 1
Tl5 Tl 0.6646 0.3354 0.5000 1
Pd1 Pd 0.1738 0.8262 0.2489 1
Pd2 Pd 0.1738 0.8262 0.7511 1
Pd3 Pd 0.5000 0.5000 0.2601 1
Pd4 Pd 0.5000 0.5000 0.7399 1
Pd5 Pd 0.8262 0.1738 0.2489 1
Pd6 Pd 0.8262 0.1738 0.7511 1
# E_form = -280 kJ/mol of formula units
# Space-group type = Cmmm, No. 65


Entry 2:
# CaTl3Pd GGA-PBE relaxed
data_CaTl3Pd
_cell_length_a 5.8215
_cell_length_b 5.8215
_cell_length_c 5.8215
_cell_angle_alpha 90.00
_cell_angle_beta 90.00
_cell_angle_gamma 90.00
_space_group_name_H-M_alt 'P 1'
_space_group_IT_number 1
loop_
_space_group_symop_operation_xyz
'x,y,z'
loop_
_atom_site_label
_atom_site_type_symbol
_atom_site_fract_x
_atom_site_fract_y
_atom_site_fract_z
_atom_site_occupancy
Ca1 Ca 0.0000 0.0000 0.0000 1
Tl1 Tl 0.0000 0.0000 0.5000 1
Tl2 Tl 0.0000 0.5000 0.0000 1
Tl3 Tl 0.5000 0.0000 0.0000 1
Pd1 Pd 0.5000 0.5000 0.5000 1
# Energy above the lowest structure with this stoichiometry = 4.40 eV per formula unit
# E_form = 389 kJ/mol of formula units
# Space-group type = Pm-3m, No. 221


Entry 3:
# Ca5TlPd4 GGA-PBE relaxed
data_Ca5TlPd4
_cell_length_a 3.5952
_cell_length_b 3.5952
_cell_length_c 18.1409
_cell_angle_alpha 90.00
_cell_angle_beta 90.00
_cell_angle_gamma 90.00
_space_group_name_H-M_alt 'P 1'
_space_group_IT_number 1
loop_
_space_group_symop_operation_xyz
'x,y,z'
loop_
_atom_site_label
_atom_site_type_symbol
_atom_site_fract_x
_atom_site_fract_y
_atom_site_fract_z
_atom_site_occupancy
Ca1 Ca 0.0000 0.0000 0.0000 1
Ca2 Ca 0.0000 0.0000 0.1880 1
Ca3 Ca 0.0000 0.0000 0.3767 1
Ca4 Ca 0.0000 0.0000 0.6233 1
Ca5 Ca 0.0000 0.0000 0.8120 1
Tl1 Tl 0.5000 0.5000 0.5000 1
Pd1 Pd 0.5000 0.5000 0.0946 1
Pd2 Pd 0.5000 0.5000 0.2835 1
Pd3 Pd 0.5000 0.5000 0.7165 1
Pd4 Pd 0.5000 0.5000 0.9054 1
# E_form = -594 kJ/mol of formula units
# Space-group type = P4/mmm, No. 123


no.,electronic total energy (eV/atom)
1,-3.991
2,-2.052
3,-3.930